[1]
# K2TaHgF6 (PBE, optimized geometry)
data_K2TaHgF6
_chemical_formula_sum 'K8 Ta4 Hg4 F24'
_symmetry_space_group_name_H-M 'F m -3 m'
_symmetry_Int_Tables_number 225
_symmetry_space_group_name_Hall '-F 4 2 3'
_cell_length_a 9.836
_cell_length_b 9.836
_cell_length_c 9.836
_cell_angle_alpha 90.00
_cell_angle_beta 90.00
_cell_angle_gamma 90.00
loop_
_atom_site_label
_atom_site_type_symbol
_atom_site_fract_x
_atom_site_fract_y
_atom_site_fract_z
K1 K 0.250 0.250 0.250
Ta1 Ta 0.000 0.000 0.000
Hg1 Hg 0.000 0.000 0.500
F1 F 0.000 0.000 0.203
# Energy in eV per atom: -5.09

=====

[2]
# KTa2HgF (PBE, optimized geometry)
data_KTa2HgF
_chemical_formula_sum 'K1 Ta2 Hg1 F1'
_symmetry_space_group_name_H-M 'P 4/m m m'
_symmetry_Int_Tables_number 123
_symmetry_space_group_name_Hall '-P 4 2'
_cell_length_a 5.204
_cell_length_b 5.204
_cell_length_c 5.984
_cell_angle_alpha 90.00
_cell_angle_beta 90.00
_cell_angle_gamma 90.00
loop_
_atom_site_label
_atom_site_type_symbol
_atom_site_fract_x
_atom_site_fract_y
_atom_site_fract_z
K1 K 0.000 0.000 0.000
Ta1 Ta 0.000 0.500 0.500
Hg1 Hg 0.500 0.500 0.500
F1 F 0.500 0.500 0.000
# Energy in eV per atom: -4.01

=====

[3]
# KTbHgF6 (PBE, optimized geometry)
data_KTbHgF6
_chemical_formula_sum 'K2 Tb2 Hg2 F12'
_symmetry_space_group_name_H-M 'P -3 1 c'
_symmetry_Int_Tables_number 163
_symmetry_space_group_name_Hall '-P 3 2c'
_cell_length_a 6.2080
_cell_length_b 6.2080
_cell_length_c 10.5195
_cell_angle_alpha 90.00
_cell_angle_beta 90.00
_cell_angle_gamma 120.00
loop_
_atom_site_label
_atom_site_type_symbol
_atom_site_fract_x
_atom_site_fract_y
_atom_site_fract_z
K1 K 0.0000 0.0000 0.0000
Tb1 Tb 0.3333 0.6667 0.2500
Hg1 Hg 0.3333 0.6667 0.7500
F1 F 0.0166 0.3753 0.1404
# Energy in eV per atom: -4.83

=====

[4]
# KTcHg2F8 (PBE, optimized geometry)
data_KTcHg2F8
_chemical_formula_sum 'K1 Tc1 Hg2 F8'
_symmetry_space_group_name_H-M 'P 1 2/m 1'
_symmetry_Int_Tables_number 10
_cell_length_a 4.874
_cell_length_b 7.447
_cell_length_c 5.735
_cell_angle_alpha 90.00
_cell_angle_beta 95.19
_cell_angle_gamma 90.00
loop_
_symmetry_equiv_pos_as_xyz
'x,y,z'
'-x,-y,-z'
'-x,y,-z'
'x,-y,z'
loop_
_atom_site_label
_atom_site_type_symbol
_atom_site_fract_x
_atom_site_fract_y
_atom_site_fract_z
K1 K 0.000 0.000 0.000
Tc1 Tc 0.000 0.500 0.000
Hg1 Hg 0.500 0.254 0.500
F1 F 0.106 0.311 0.786
F2 F 0.356 0.500 0.195
F3 F 0.472 0.000 0.261
# Energy in eV per atom: -4.11

=====

[5]
# KTcHgF6 (PBE, optimized geometry)
data_KTcHgF6
_chemical_formula_sum 'K2 Tc2 Hg2 F12'
_symmetry_space_group_name_H-M 'P -3 1 c'
_symmetry_Int_Tables_number 163
_symmetry_space_group_name_Hall '-P 3 2c'
_cell_length_a 6.7638
_cell_length_b 6.7638
_cell_length_c 8.3370
_cell_angle_alpha 90.00
_cell_angle_beta 90.00
_cell_angle_gamma 120.00
loop_
_atom_site_label
_atom_site_type_symbol
_atom_site_fract_x
_atom_site_fract_y
_atom_site_fract_z
K1 K 0.3333 0.6667 0.2500
Tc1 Tc 0.3333 0.6667 0.7500
Hg1 Hg 0.0000 0.0000 0.0000
F1 F 0.0915 0.4304 0.6207
# Energy in eV per atom: -4.61

=====

[6]
# KTcHg2F6 (PBE, optimized geometry)
data_KTcHg2F6
_chemical_formula_sum 'K1 Tc1 Hg2 F6'
_symmetry_space_group_name_H-M 'P -3 m 1'
_symmetry_Int_Tables_number 164
_symmetry_space_group_name_Hall '-P 3 2"'
_cell_length_a 6.2394
_cell_length_b 6.2394
_cell_length_c 6.9542
_cell_angle_alpha 90.00
_cell_angle_beta 90.00
_cell_angle_gamma 120.00
loop_
_atom_site_label
_atom_site_type_symbol
_atom_site_fract_x
_atom_site_fract_y
_atom_site_fract_z
K1 K 0.0000 0.0000 0.0000
Tc1 Tc 0.0000 0.0000 0.5000
Hg1 Hg 0.3333 0.6667 0.8384
F1 F 0.1425 0.2849 0.3350
# Energy in eV per atom: -4.12

=====

[7]
# K2TiHgF6 (PBE, optimized geometry)
data_K2TiHgF6
_chemical_formula_sum 'K2 Ti1 Hg1 F6'
_symmetry_space_group_name_H-M 'P 1'
_symmetry_Int_Tables_number 1
_cell_length_a 6.663
_cell_length_b 6.666
_cell_length_c 6.686
_cell_angle_alpha 62.82
_cell_angle_beta 62.97
_cell_angle_gamma 62.91
loop_
_symmetry_equiv_pos_as_xyz
'x,y,z'
loop_
_atom_site_label
_atom_site_type_symbol
_atom_site_fract_x
_atom_site_fract_y
_atom_site_fract_z
K1 K 0.000 0.000 0.000
K2 K 0.440 0.439 0.442
Ti1 Ti 0.220 0.219 0.221
Hg1 Hg 0.721 0.720 0.722
F1 F 0.128 0.201 0.541
F2 F 0.202 0.540 0.128
F3 F 0.238 0.899 0.314
F4 F 0.311 0.238 0.901
F5 F 0.541 0.128 0.202
F6 F 0.899 0.311 0.240
# Energy above the most stable polymorph in this dataset in eV/f.u.: 0.00
# Energy in eV per atom: -5.07

=====

[8]
# K2TiHgF6 (PBE, optimized geometry)
data_K2TiHgF6
_chemical_formula_sum 'K8 Ti4 Hg4 F24'
_symmetry_space_group_name_H-M 'F m -3 m'
_symmetry_Int_Tables_number 225
_symmetry_space_group_name_Hall '-F 4 2 3'
_cell_length_a 9.563
_cell_length_b 9.563
_cell_length_c 9.563
_cell_angle_alpha 90.00
_cell_angle_beta 90.00
_cell_angle_gamma 90.00
loop_
_atom_site_label
_atom_site_type_symbol
_atom_site_fract_x
_atom_site_fract_y
_atom_site_fract_z
K1 K 0.250 0.250 0.250
Ti1 Ti 0.000 0.000 0.000
Hg1 Hg 0.000 0.000 0.500
F1 F 0.000 0.000 0.198
# Energy above the most stable polymorph in this dataset in eV/f.u.: 1.11
# Energy in eV per atom: -4.96

=====

[9]
# K2TlHg3F8 (PBE, optimized geometry)
data_K2TlHg3F8
_chemical_formula_sum 'K6 Tl3 Hg9 F24'
_symmetry_space_group_name_H-M 'R 3 m'
_symmetry_Int_Tables_number 160
_symmetry_space_group_name_Hall 'R 3 -2"'
_cell_length_a 7.4023
_cell_length_b 7.4023
_cell_length_c 19.0207
_cell_angle_alpha 90.00
_cell_angle_beta 90.00
_cell_angle_gamma 120.00
loop_
_atom_site_label
_atom_site_type_symbol
_atom_site_fract_x
_atom_site_fract_y
_atom_site_fract_z
K1 K 0.0000 0.0000 0.0000
K2 K 0.0000 0.0000 0.3794
Tl1 Tl 0.0000 0.0000 0.6255
Hg1 Hg 0.1691 0.3382 0.8341
F1 F 0.0000 0.0000 0.2380
F2 F 0.0000 0.0000 0.7720
F3 F 0.0373 0.5187 0.7643
F4 F 0.1844 0.3688 0.5686
# Energy in eV per atom: -3.23

=====

[10]
# KTlHgF4 (PBE, optimized geometry)
data_KTlHgF4
_chemical_formula_sum 'K2 Tl2 Hg2 F8'
_symmetry_space_group_name_H-M 'P 1 21/m 1'
_symmetry_Int_Tables_number 11
_cell_length_a 6.778
_cell_length_b 6.072
_cell_length_c 7.417
_cell_angle_alpha 90.00
_cell_angle_beta 115.14
_cell_angle_gamma 90.00
loop_
_symmetry_equiv_pos_as_xyz
'x,y,z'
'-x,-y,-z'
'-x,y+1/2,-z'
'x,-y+1/2,z'
loop_
_atom_site_label
_atom_site_type_symbol
_atom_site_fract_x
_atom_site_fract_y
_atom_site_fract_z
K1 K 0.024 0.250 0.133
Tl1 Tl 0.347 0.750 0.557
Hg1 Hg 0.371 0.250 0.851
F1 F 0.011 0.250 0.762
F2 F 0.321 0.250 0.515
F3 F 0.346 0.503 0.094
# Energy in eV per atom: -3.51

=====

[11]
# KTlHg2F8 (PBE, optimized geometry)
data_KTlHg2F8
_chemical_formula_sum 'K1 Tl1 Hg2 F8'
_symmetry_space_group_name_H-M 'P -1'
_symmetry_Int_Tables_number 2
_cell_length_a 4.339
_cell_length_b 5.723
_cell_length_c 7.982
_cell_angle_alpha 84.59
_cell_angle_beta 89.96
_cell_angle_gamma 89.86
loop_
_symmetry_equiv_pos_as_xyz
'x,y,z'
'-x,-y,-z'
loop_
_atom_site_label
_atom_site_type_symbol
_atom_site_fract_x
_atom_site_fract_y
_atom_site_fract_z
K1 K 0.000 0.000 0.000
Tl1 Tl 0.000 0.000 0.500
Hg1 Hg 0.500 0.484 0.251
F1 F 0.000 0.247 0.686
F2 F 0.001 0.251 0.266
F3 F 0.499 0.269 0.961
F4 F 0.499 0.768 0.528
# Energy in eV per atom: -3.38

=====

[12]
# K2TlHgF6 (PBE, optimized geometry)
data_K2TlHgF6
_chemical_formula_sum 'K6 Tl3 Hg3 F18'
_symmetry_space_group_name_H-M 'R 3'
_symmetry_Int_Tables_number 146
_symmetry_space_group_name_Hall 'R 3'
_cell_length_a 6.4608
_cell_length_b 6.4608
_cell_length_c 15.8616
_cell_angle_alpha 90.00
_cell_angle_beta 90.00
_cell_angle_gamma 120.00
loop_
_atom_site_label
_atom_site_type_symbol
_atom_site_fract_x
_atom_site_fract_y
_atom_site_fract_z
K1 K 0.0000 0.0000 0.0000
K2 K 0.0000 0.0000 0.4997
Tl1 Tl 0.0000 0.0000 0.7307
Hg1 Hg 0.0000 0.0000 0.2307
F1 F 0.0852 0.3472 0.3044
F2 F 0.0857 0.7371 0.8051
# Energy in eV per atom: -3.70

=====

[13]
# K3Tl3HgF8 (PBE, optimized geometry)
data_K3Tl3HgF8
_chemical_formula_sum 'K9 Tl9 Hg3 F24'
_symmetry_space_group_name_H-M 'R -3 m'
_symmetry_Int_Tables_number 166
_symmetry_space_group_name_Hall '-R 3 2"'
_cell_length_a 7.7189
_cell_length_b 7.7189
_cell_length_c 19.3077
_cell_angle_alpha 90.00
_cell_angle_beta 90.00
_cell_angle_gamma 120.00
loop_
_atom_site_label
_atom_site_type_symbol
_atom_site_fract_x
_atom_site_fract_y
_atom_site_fract_z
K1 K 0.0000 0.5000 0.0000
Tl1 Tl 0.0000 0.5000 0.5000
Hg1 Hg 0.0000 0.0000 0.0000
F1 F 0.0000 0.0000 0.2555
F2 F 0.0401 0.5201 0.7361
# Energy in eV per atom: -3.80

=====

[14]
# KTlHg2F6 (PBE, optimized geometry)
data_KTlHg2F6
_chemical_formula_sum 'K4 Tl4 Hg8 F24'
_symmetry_space_group_name_H-M 'C 1 2/c 1'
_symmetry_Int_Tables_number 15
_cell_length_a 11.740
_cell_length_b 9.165
_cell_length_c 6.521
_cell_angle_alpha 90.00
_cell_angle_beta 91.33
_cell_angle_gamma 90.00
loop_
_symmetry_equiv_pos_as_xyz
'x,y,z'
'-x,-y,-z'
'-x,y,-z+1/2'
'x,-y,z+1/2'
'x+1/2,y+1/2,z'
'-x+1/2,-y+1/2,-z'
'-x+1/2,y+1/2,-z+1/2'
'x+1/2,-y+1/2,z+1/2'
loop_
_atom_site_label
_atom_site_type_symbol
_atom_site_fract_x
_atom_site_fract_y
_atom_site_fract_z
K1 K 0.000 0.165 0.250
Tl1 Tl 0.000 0.340 0.750
Hg1 Hg 0.245 0.060 0.865
F1 F 0.115 0.442 0.405
F2 F 0.116 0.064 0.584
F3 F 0.239 0.184 0.189
# Energy in eV per atom: -3.28

=====

[15]
# KTl2HgF6 (PBE, optimized geometry)
data_KTl2HgF6
_chemical_formula_sum 'K3 Tl6 Hg3 F18'
_symmetry_space_group_name_H-M 'R 3'
_symmetry_Int_Tables_number 146
_symmetry_space_group_name_Hall 'R 3'
_cell_length_a 6.4137
_cell_length_b 6.4137
_cell_length_c 17.2414
_cell_angle_alpha 90.00
_cell_angle_beta 90.00
_cell_angle_gamma 120.00
loop_
_atom_site_label
_atom_site_type_symbol
_atom_site_fract_x
_atom_site_fract_y
_atom_site_fract_z
K1 K 0.0000 0.0000 0.0000
Tl1 Tl 0.0000 0.0000 0.2138
Tl2 Tl 0.0000 0.0000 0.7288
Hg1 Hg 0.0000 0.0000 0.5147
F1 F 0.0217 0.6127 0.7866
F2 F 0.0610 0.3675 0.2720
# Energy in eV per atom: -3.59

=====

[16]
# KTlHgF6 (PBE, optimized geometry)
data_KTlHgF6
_chemical_formula_sum 'K1 Tl1 Hg1 F6'
_symmetry_space_group_name_H-M 'P 3 1 2'
_symmetry_Int_Tables_number 149
_cell_length_a 6.1471
_cell_length_b 6.1471
_cell_length_c 5.3598
_cell_angle_alpha 90.00
_cell_angle_beta 90.00
_cell_angle_gamma 120.00
loop_
_symmetry_equiv_pos_as_xyz
'x,y,z'
'-y,x-y,z'
'-x+y,-x,z'
'-y,-x,-z'
'-x+y,y,-z'
'x,x-y,-z'
loop_
_atom_site_label
_atom_site_type_symbol
_atom_site_fract_x
_atom_site_fract_y
_atom_site_fract_z
K1 K 0.0000 0.0000 0.0000
Tl1 Tl 0.3333 0.6667 0.5000
Hg1 Hg 0.6667 0.3333 0.5000
F1 F 0.0169 0.3732 0.7176
# Energy in eV per atom: -3.61

=====

[17]
# KTmHg2F8 (PBE, optimized geometry)
data_KTmHg2F8
_chemical_formula_sum 'K1 Tm1 Hg2 F8'
_symmetry_space_group_name_H-M 'P m m m'
_symmetry_Int_Tables_number 47
_cell_length_a 4.011
_cell_length_b 5.706
_cell_length_c 7.996
_cell_angle_alpha 90.00
_cell_angle_beta 90.00
_cell_angle_gamma 90.00
loop_
_symmetry_equiv_pos_as_xyz
'x,y,z'
'-x,-y,-z'
'-x,-y,z'
'x,y,-z'
'x,-y,-z'
'-x,y,z'
'-x,y,-z'
'x,-y,z'
loop_
_atom_site_label
_atom_site_type_symbol
_atom_site_fract_x
_atom_site_fract_y
_atom_site_fract_z
K1 K 0.000 0.000 0.000
Tm1 Tm 0.000 0.000 0.500
Hg1 Hg 0.500 0.500 0.242
F1 F 0.000 0.250 0.288
F2 F 0.500 0.217 0.500
F3 F 0.500 0.272 0.000
# Energy in eV per atom: -4.31

=====

[18]
# KTmHgF6 (PBE, optimized geometry)
data_KTmHgF6
_chemical_formula_sum 'K2 Tm2 Hg2 F12'
_symmetry_space_group_name_H-M 'P -3 1 c'
_symmetry_Int_Tables_number 163
_symmetry_space_group_name_Hall '-P 3 2c'
_cell_length_a 6.1235
_cell_length_b 6.1235
_cell_length_c 10.6138
_cell_angle_alpha 90.00
_cell_angle_beta 90.00
_cell_angle_gamma 120.00
loop_
_atom_site_label
_atom_site_type_symbol
_atom_site_fract_x
_atom_site_fract_y
_atom_site_fract_z
K1 K 0.0000 0.0000 0.0000
Tm1 Tm 0.3333 0.6667 0.2500
Hg1 Hg 0.3333 0.6667 0.7500
F1 F 0.0237 0.3807 0.1417
# Energy in eV per atom: -4.84

=====

Number 1: formation energy (no corrections) -2.53 eV per atom, N(E_F) 0.837 states/eV per atom. Number 2: formation energy (no corrections) 1.38 eV per atom, N(E_F) 0.895 states/eV per atom. Number 3: formation energy (no corrections) -2.91 eV per atom, N(E_F) 0.000 states/eV per atom. Number 4: formation energy (no corrections) -1.85 eV per atom, N(E_F) 0.257 states/eV per atom. Number 5: formation energy (no corrections) -2.06 eV per atom, N(E_F) 0.563 states/eV per atom. Number 6: formation energy (no corrections) -1.79 eV per atom, N(E_F) 0.914 states/eV per atom. Number 7: formation energy (no corrections) -2.91 eV per atom, N(E_F) 0.000 states/eV per atom. Number 8: formation energy (no corrections) -2.80 eV per atom, N(E_F) 0.000 states/eV per atom. Number 9: formation energy (no corrections) -1.77 eV per atom, N(E_F) 0.253 states/eV per atom. Number 10: formation energy (no corrections) -1.91 eV per atom, N(E_F) 0.000 states/eV per atom. Number 11: formation energy (no corrections) -1.80 eV per atom, N(E_F) 0.000 states/eV per atom. Number 12: formation energy (no corrections) -2.09 eV per atom, N(E_F) 0.110 states/eV per atom. Number 13: formation energy (no corrections) -2.09 eV per atom, N(E_F) 0.000 states/eV per atom. Number 14: formation energy (no corrections) -1.75 eV per atom, N(E_F) 0.000 states/eV per atom. Number 15: formation energy (no corrections) -1.86 eV per atom, N(E_F) 0.367 states/eV per atom. Number 16: formation energy (no corrections) -1.95 eV per atom, N(E_F) 0.000 states/eV per atom. Number 17: formation energy (no corrections) -2.55 eV per atom, N(E_F) 0.000 states/eV per atom. Number 18: formation energy (no corrections) -2.94 eV per atom, N(E_F) 0.000 states/eV per atom.